(1)
Compound: CuAg2Pb2
Source: Alexandria
Functional: PBE
Structure: optimized geometry

```
10
Lattice="-0.822 -3.296 -6.127 2.873 -5.780 2.724 -4.224 -1.462 1.353" Properties=species:S:1:pos:R:3 pbc="T T T"
Pb -0.322 -5.185 1.452
Pb -0.287 -7.731 -1.188
Pb -1.851 -5.353 -3.502
Pb -1.886 -2.807 -0.862
Cu 0.000 0.000 0.000
Cu 1.026 -4.538 -1.702
Ag 2.167 -6.121 0.150
Ag 1.147 -6.544 -3.491
Ag -0.115 -2.955 -3.554
Ag 0.904 -2.532 0.087
```

Results
* Fermi-level density of states: 4.2 states/eV/cell
* ΔE_f: 105 kJ/mol of formula units
* calculated total energy: -3.22 eV per atom

(2)
Compound: TcIBrN2
Source: Alexandria
Functional: PBE
Structure: optimized geometry

```
5
Lattice="-3.119 2.359 -0.695 -2.367 -3.184 -0.188 -0.987 0.393 5.766" Properties=species:S:1:pos:R:3 pbc="T T T"
I -0.494 0.197 2.883
Tc 0.000 0.000 0.000
Br -3.236 -0.216 2.441
N -1.183 -1.592 -0.094
N -1.559 1.180 -0.347
```

Results
* formation energy from raw total energies: 0.88 eV/atom
* Fermi-level density of states: 3.1 states/eV/cell
* calculated total energy: -5.17 eV per atom

(3)
Compound: CsAcI4
Source: Alexandria
Functional: PBE
Structure: optimized geometry

```
12
Lattice="8.187 -0.099 0.000 -2.207 9.670 0.000 -2.990 -4.785 8.099" Properties=species:S:1:pos:R:3 pbc="T T T"
Cs 0.943 4.810 2.213
Cs 2.047 -0.025 5.886
Ac -3.150 4.860 8.063
Ac 6.141 -0.075 0.036
I -2.982 -2.212 7.099
I 2.948 3.801 5.538
I -1.112 2.262 7.099
I -1.062 5.820 5.538
I 4.052 -1.034 2.562
I 4.102 2.524 1.000
I 0.042 0.985 2.562
I 5.972 6.998 1.000
```

Results
* formation energy from raw total energies: -1.54 eV/atom
* Fermi-level density of states: 0.0 states/eV/cell
* calculated total energy: -3.40 eV per atom

(4)
Compound: Hg2OsRh
Source: Alexandria
Functional: PBE
Structure: optimized geometry

```
4
Lattice="0.000 3.286 3.286 3.286 0.000 3.286 3.286 3.286 0.000" Properties=species:S:1:pos:R:3 pbc="T T T"
Hg 0.000 0.000 0.000
Hg 1.643 1.643 1.643
Os 3.286 3.286 3.286
Rh 4.929 4.929 4.929
```

Results
* Fermi-level density of states: 2.7 states/eV/cell
* ΔE_f: 316 kJ/mol of formula units
* calculated total energy: -3.98 eV per atom